No. 1
# ScSiN2O PBEsol relaxed
# * formation energy from raw total energies: 8.34 kcal/mol of atoms
# * symmetry: P4/mmm (123)
# * D(E_F): 2.10 states/eV per cell
data_ScSiN2O
_space_group_name_H-M_alt 'P 1'
_space_group_IT_number 1
_space_group_name_Hall 'P 1'
_cell_length_a 3.944
_cell_length_b 4.155
_cell_length_c 4.155
_cell_angle_alpha 90.00
_cell_angle_beta 90.00
_cell_angle_gamma 90.00
loop_
_atom_site_label
_atom_site_fract_x
_atom_site_fract_y
_atom_site_fract_z
O1 0.500 0.000 0.000
Si1 0.500 0.500 0.500
N1 0.000 0.500 0.000
Sc1 0.000 0.000 0.000
N2 0.000 0.000 0.500



No. 2
# CdPbAu2 PBEsol relaxed
# * symmetry: F-43m (216)
# * D(E_F): 1.50 states/eV per cell
# * formation energy: 0.072 eV per atom
data_CdPbAu2
_space_group_name_H-M_alt 'P 1'
_space_group_IT_number 1
_space_group_name_Hall 'P 1'
_cell_length_a 4.889
_cell_length_b 4.889
_cell_length_c 4.889
_cell_angle_alpha 60.00
_cell_angle_beta 60.00
_cell_angle_gamma 60.00
loop_
_atom_site_label
_atom_site_fract_x
_atom_site_fract_y
_atom_site_fract_z
Cd1 0.500 0.500 0.500
Au1 0.000 0.000 0.000
Pb1 0.250 0.250 0.250
Au2 0.750 0.750 0.750



No. 3
# CuBrO2 PBEsol relaxed
# * formation energy from raw total energies: -4.99 kcal/mol of atoms
# * symmetry: R-3m (166)
# * D(E_F): 2.95 states/eV per cell
data_CuBrO2
_space_group_name_H-M_alt 'P 1'
_space_group_IT_number 1
_space_group_name_Hall 'P 1'
_cell_length_a 3.143
_cell_length_b 3.143
_cell_length_c 6.116
_cell_angle_alpha 75.11
_cell_angle_beta 75.11
_cell_angle_gamma 60.00
loop_
_atom_site_label
_atom_site_fract_x
_atom_site_fract_y
_atom_site_fract_z
Br1 0.000 0.000 0.000
O1 0.887 0.887 0.338
O2 0.113 0.113 0.662
Cu1 0.500 0.500 0.500



No. 4
# Sr2Si2Br PBEsol relaxed
# * formation energy from raw total energies: -10.26 kcal/mol of atoms
# * symmetry: I4/mmm (139)
# * D(E_F): 1.99 states/eV per cell
data_Sr2Si2Br
_space_group_name_H-M_alt 'P 1'
_space_group_IT_number 1
_space_group_name_Hall 'P 1'
_cell_length_a 5.774
_cell_length_b 6.236
_cell_length_c 5.774
_cell_angle_alpha 62.42
_cell_angle_beta 90.00
_cell_angle_gamma 117.58
loop_
_atom_site_label
_atom_site_fract_x
_atom_site_fract_y
_atom_site_fract_z
Si1 0.614 0.229 0.386
Sr1 0.250 0.500 0.250
Si2 0.386 0.771 0.614
Sr2 0.750 0.500 0.750
Br1 0.000 0.000 0.000



No. 5
# AsIrPt2 PBEsol relaxed
# * symmetry: R-3m (166)
# * D(E_F): 6.24 states/eV per cell
# * formation energy: 0.146 eV per atom
data_AsIrPt2
_space_group_name_H-M_alt 'P 1'
_space_group_IT_number 1
_space_group_name_Hall 'P 1'
_cell_length_a 2.847
_cell_length_b 2.847
_cell_length_c 8.749
_cell_angle_alpha 80.64
_cell_angle_beta 80.64
_cell_angle_gamma 60.00
loop_
_atom_site_label
_atom_site_fract_x
_atom_site_fract_y
_atom_site_fract_z
Pt1 0.752 0.752 0.743
Pt2 0.248 0.248 0.257
Ir1 0.000 0.000 0.000
As1 0.500 0.500 0.500



No. 6
# AlCr5 PBEsol relaxed
# * symmetry: Cmmm (65)
# * D(E_F): 3.87 states/eV per cell
# * formation energy: 0.001 eV per atom
data_AlCr5
_space_group_name_H-M_alt 'P 1'
_space_group_IT_number 1
_space_group_name_Hall 'P 1'
_cell_length_a 2.853
_cell_length_b 4.080
_cell_length_c 6.142
_cell_angle_alpha 90.00
_cell_angle_beta 103.43
_cell_angle_gamma 90.00
loop_
_atom_site_label
_atom_site_fract_x
_atom_site_fract_y
_atom_site_fract_z
Cr1 0.661 0.500 0.323
Cr2 0.824 0.000 0.647
Cr3 0.176 0.000 0.353
Al1 0.500 0.000 0.000
Cr4 0.000 0.500 0.000
Cr5 0.339 0.500 0.677



No. 7
# LiAu3N PBEsol relaxed
# * formation energy from raw total energies: 9.87 kcal/mol of atoms
# * symmetry: Pm-3m (221)
# * D(E_F): 2.23 states/eV per cell
data_LiAu3N
_space_group_name_H-M_alt 'P 1'
_space_group_IT_number 1
_space_group_name_Hall 'P 1'
_cell_length_a 4.316
_cell_length_b 4.316
_cell_length_c 4.316
_cell_angle_alpha 90.00
_cell_angle_beta 90.00
_cell_angle_gamma 90.00
loop_
_atom_site_label
_atom_site_fract_x
_atom_site_fract_y
_atom_site_fract_z
N1 0.000 0.000 0.000
Au1 0.000 0.000 0.500
Au2 0.500 0.000 0.000
Au3 0.000 0.500 0.000
Li1 0.500 0.500 0.500



No. 8
# KLiSe2 PBEsol relaxed
# * formation energy from raw total energies: -15.58 kcal/mol of atoms
# * symmetry: P4/mmm (123)
# * D(E_F): 2.04 states/eV per cell
data_KLiSe2
_space_group_name_H-M_alt 'P 1'
_space_group_IT_number 1
_space_group_name_Hall 'P 1'
_cell_length_a 2.819
_cell_length_b 5.648
_cell_length_c 5.648
_cell_angle_alpha 90.00
_cell_angle_beta 90.00
_cell_angle_gamma 90.00
loop_
_atom_site_label
_atom_site_fract_x
_atom_site_fract_y
_atom_site_fract_z
Li1 0.500 0.500 0.500
Se1 0.000 0.500 0.000
Se2 0.000 0.000 0.500
K1 0.500 0.000 0.000



no.,total magnetic moment (μB/f.u.)
1,2.9
2,0.0
3,0.3
4,0.0
5,0.0
6,0.0
7,0.0
8,0.0